The following is a PBE calculation of crystalline BaSiSeBr2 at its relaxed geometry, from the Alexandria database.

Output
ΔE_f (raw) ... -0.058 eV per atom
Offset from the most stable computed form ... 941 meV per atom
Magnetic moment ... 0.32 μB per cell
Symmetry ... P4/mmm, No. 123
Volume ... 46.87 Å³ per atom
Theoretical density ... 2.9 Mg/m³

abc: 6.0667 6.0667 6.3667
angles: 90.00 90.00 90.00
Closest atoms and distances in Å follow each position.
Positions (direct):
Si (0.5000, 0.5000, 0.5000)  4 Se 4.29, 8 Br 4.40
Br (0.5000, 0.0000, 0.0000)  2 Ba 3.03
Ba (0.0000, 0.0000, 0.0000)  4 Br 3.03, 2 Se 3.18
Se (0.0000, 0.0000, 0.5000)  2 Ba 3.18
Br (0.0000, 0.5000, 0.0000)  2 Ba 3.03